[1]
Here is an optimized crystal structure of La3CuSi2Pt9 from Alexandria. Energies are from GGA-PBE.

It has space group P-3m1 (No. 164), with a = 5.7891 Å, b = 5.7891 Å, c = 10.7072 Å, α = 90.00°, β = 90.00° and γ = 120.00°. Symmetry generates all atoms from La at (0.0000, 0.0000, 0.0000), La at (0.3333, 0.6667, 0.5948), Cu at (0.0000, 0.0000, 0.5000), Si at (0.3333, 0.6667, 0.1644), Pt at (0.0000, 0.5000, 0.0000) and Pt at (0.1608, 0.3216, 0.3139).

The calculation puts the total magnetization at 0.00 μB/cell. For the uncorrected formation energy, the calculation gives -0.834 eV per atom. The value obtained for the total energy is -6.44 eV/atom. The calculation puts the density of states at the Fermi level at 0.217 states/eV per atom.

[2]
Here is an optimized crystal structure of InBiSbAu3 from Alexandria. Energies are from GGA-PBE.

It has space group P2_1/m (No. 11), with a = 7.803 Å, b = 4.072 Å, c = 8.967 Å, α = 90.00°, β = 91.95° and γ = 90.00°. Symmetry generates all atoms from In at (0.159, 0.250, 0.082), Bi at (0.321, 0.750, 0.772), Sb at (0.344, 0.750, 0.410), Au at (0.041, 0.250, 0.770), Au at (0.109, 0.250, 0.442) and Au at (0.419, 0.750, 0.102).

The calculation puts the total magnetization at 0.00 μB/cell. For the uncorrected formation energy, the calculation gives -0.060 eV per atom. The value obtained for the total energy is -3.49 eV/atom. The calculation puts the density of states at the Fermi level at 0.414 states/eV per atom.